Record 1
! LiPrGd2 PBE relaxed; values from VASP
&SYSTEM
  ibrav = 0, nat = 4, ntyp = 3
/
ATOMIC_SPECIES
Li 6.94 Li.upf
Pr 140.91 Pr.upf
Gd 157.25 Gd.upf
CELL_PARAMETERS angstrom
3.6761 0.0000 0.0000
0.0000 3.6761 0.0000
0.0000 0.0000 8.9142
ATOMIC_POSITIONS crystal
Li 0.0000 0.0000 0.0000
Pr 0.0000 0.0000 0.5000
Gd 0.5000 0.5000 0.2169
Gd 0.5000 0.5000 0.7831
! Symmetry: P4/mmm, No. 123
! Calculated density in kg/m³: 6373
! Raw total energy in eV per formula unit: -34.6
! ΔH_f (0 K) in eV/atom: 0.0617

Record 2
! TePt PBE relaxed; values from VASP
&SYSTEM
  ibrav = 0, nat = 8, ntyp = 2
/
ATOMIC_SPECIES
Te 127.60 Te.upf
Pt 195.08 Pt.upf
CELL_PARAMETERS angstrom
4.4331 0.0000 0.0000
-2.2165 3.8391 0.0000
0.0000 0.0000 11.1006
ATOMIC_POSITIONS crystal
Te 0.3333 0.6667 0.0928
Te 0.3333 0.6667 0.4072
Te 0.6667 0.3333 0.5928
Te 0.6667 0.3333 0.9072
Pt 0.0000 0.0000 0.2500
Pt 0.0000 0.0000 0.7500
Pt 0.3333 0.6667 0.7500
Pt 0.6667 0.3333 0.2500
! Symmetry: P6_3/mmc, No. 194
! Calculated density in kg/m³: 11345
! Raw total energy in eV per formula unit: -8.7

Record 3
! Rb3PrPa3Te8 PBE relaxed; values from VASP
&SYSTEM
  ibrav = 0, nat = 15, ntyp = 4
/
ATOMIC_SPECIES
Rb 85.47 Rb.upf
Pr 140.91 Pr.upf
Pa 231.04 Pa.upf
Te 127.60 Te.upf
CELL_PARAMETERS angstrom
4.4508 2.5697 8.8296
-4.4508 2.5697 8.8296
0.0000 -5.1394 8.8296
ATOMIC_POSITIONS crystal
Rb 0.0000 0.5000 0.5000
Rb 0.5000 0.0000 0.5000
Rb 0.5000 0.5000 0.0000
Pr 0.5000 0.5000 0.5000
Pa 0.0000 0.0000 0.5000
Pa 0.0000 0.5000 0.0000
Pa 0.5000 0.0000 0.0000
Te 0.2235 0.7411 0.7411
Te 0.2348 0.2348 0.2348
Te 0.2589 0.2589 0.7765
Te 0.2589 0.7765 0.2589
Te 0.7411 0.2235 0.7411
Te 0.7411 0.7411 0.2235
Te 0.7652 0.7652 0.7652
Te 0.7765 0.2589 0.2589
! Symmetry: R-3m, No. 166
! Calculated density in kg/m³: 5786
! Raw total energy in eV per formula unit: -76.7

Record 4
! Y2SiHPd PBE relaxed; values from VASP
&SYSTEM
  ibrav = 0, nat = 5, ntyp = 4
/
ATOMIC_SPECIES
Y 88.91 Y.upf
Si 28.09 Si.upf
H 1.01 H.upf
Pd 106.42 Pd.upf
CELL_PARAMETERS angstrom
4.8328 0.0000 0.0000
0.0000 4.8328 0.0000
0.0000 0.0000 3.8265
ATOMIC_POSITIONS crystal
Y 0.0000 0.5000 0.0000
Y 0.5000 0.0000 0.0000
Si 0.0000 0.0000 0.5000
H 0.5000 0.5000 0.0000
Pd 0.5000 0.5000 0.5000
! Symmetry: P4/mmm, No. 123
! Calculated density in kg/m³: 5822
! Raw total energy in eV per formula unit: -30.1

Record 5
! Ce4SmP5 PBE relaxed; values from VASP
&SYSTEM
  ibrav = 0, nat = 10, ntyp = 3
/
ATOMIC_SPECIES
Ce 140.12 Ce.upf
Sm 150.36 Sm.upf
P 30.97 P.upf
CELL_PARAMETERS angstrom
-4.5771 4.5771 2.8951
4.5771 -4.5771 2.8951
4.5771 4.5771 -2.8951
ATOMIC_POSITIONS crystal
Ce 0.1002 0.7005 0.8007
Ce 0.2995 0.1002 0.3997
Ce 0.7005 0.8998 0.6003
Ce 0.8998 0.2995 0.1993
Sm 0.5000 0.5000 0.0000
P 0.0000 0.0000 0.0000
P 0.1983 0.3991 0.5974
P 0.3991 0.8017 0.2008
P 0.6009 0.1983 0.7992
P 0.8017 0.6009 0.4026
! Symmetry: I4/m, No. 87
! Calculated density in kg/m³: 5925
! Raw total energy in eV per formula unit: -70.6
! ΔH_f (0 K) in eV/atom: -1.5141

Record 6
! ZrTlI2O8 PBE relaxed; values from VASP
&SYSTEM
  ibrav = 0, nat = 12, ntyp = 4
/
ATOMIC_SPECIES
Zr 91.22 Zr.upf
Tl 204.38 Tl.upf
I 126.90 I.upf
O 16.00 O.upf
CELL_PARAMETERS angstrom
3.7303 -3.4314 0.0000
3.7303 3.4314 0.0000
-0.2209 0.0000 7.2903
ATOMIC_POSITIONS crystal
Zr 0.0000 0.0000 0.0000
Tl 0.0000 0.0000 0.5000
I 0.4648 0.4648 0.2405
I 0.5352 0.5352 0.7595
O 0.1714 0.7640 0.2132
O 0.2360 0.8286 0.7868
O 0.2924 0.2924 0.0484
O 0.3199 0.3199 0.4403
O 0.6801 0.6801 0.5597
O 0.7076 0.7076 0.9516
O 0.7640 0.1714 0.2132
O 0.8286 0.2360 0.7868
! Symmetry: C2/m, No. 12
! Calculated density in kg/m³: 6027
! Raw total energy in eV per formula unit: -66.4

Q: The lowest calculated density belongs to which entry?
A: Rb3PrPa3Te8